Computed, not measured: crystalline AlGaP at its relaxed geometry at the PBE level of DFT.

abc: 6.6899 3.7966 10.6888
angles: 90.00 102.12 90.00
Space group Cm (No. 8)
Inequivalent atoms, fractional coordinates:
Al 0.0000 0.0000 0.0000 [2 per cell]
Al 0.2297 0.0000 0.6925 [2 per cell]
Ga 0.1439 0.0000 0.4486 [2 per cell]
Ga 0.2737 0.5000 0.3054 [2 per cell]
P 0.1956 0.5000 0.0799 [2 per cell]
P 0.4254 0.5000 0.7732 [2 per cell]



Computed, not measured: crystalline Al2Ga2P at its relaxed geometry at the PBE level of DFT.

abc: 6.5312 6.5312 4.3329
angles: 90.00 90.00 90.00
Space group P4/mbm (No. 127)
Inequivalent atoms, fractional coordinates:
Al 0.1450 0.3550 0.0000 [4 per cell]
Ga 0.1577 0.6577 0.5000 [4 per cell]
P 0.0000 0.0000 0.0000 [2 per cell]



Computed, not measured: crystalline AlGaP2 at its relaxed geometry at the PBE level of DFT.

abc: 3.8436 3.8436 20.4363
angles: 90.00 90.00 120.00
Space group R-3m (No. 166, hexagonal axes)
Inequivalent atoms, fractional coordinates:
Al 0.0000 0.0000 0.0000 [3 per cell]
Ga 0.0000 0.0000 0.5000 [3 per cell]
P 0.0000 0.0000 0.3913 [6 per cell]



Computed, not measured: crystalline AlGa2P at its relaxed geometry at the PBE level of DFT.

abc: 3.5705 3.5705 23.5324
angles: 90.00 90.00 120.00
Space group R-3m (No. 166, hexagonal axes)
Inequivalent atoms, fractional coordinates:
Al 0.0000 0.0000 0.0000 [3 per cell]
Ga 0.0000 0.0000 0.1075 [6 per cell]
P 0.0000 0.0000 0.5000 [3 per cell]



Energy of formation from the pure elements for the records above, in order: -0.29, 0.11, 0.05, 0.15 eV per atom
Energy relative to the lowest polymorph listed for this composition for the records above, in order: 3.1, 0.0, 560.8, 57.8 meV/atom